! Ag2SnSe2S | Alexandria | PBE | relaxed; values from VASP
! * space-group type: Cmc2_1, No. 36
&SYSTEM
  ibrav = 0, nat = 12, ntyp = 4
/
ATOMIC_SPECIES
Ag 107.87 Ag.upf
Sn 118.71 Sn.upf
Se 78.96 Se.upf
S 32.06 S.upf
CELL_PARAMETERS angstrom
6.9363 0.0000 0.0000
0.0000 7.3887 0.0000
0.0000 -3.6943 6.4022
ATOMIC_POSITIONS crystal
Ag 0.8126 0.8176 0.3061
Ag 0.8126 0.5115 0.6939
Ag 0.3126 0.4885 0.3061
Ag 0.3126 0.1824 0.6939
Sn 0.2959 0.8339 0.0000
Sn 0.7959 0.1661 0.0000
Se 0.1932 0.8440 0.3343
Se 0.1932 0.5097 0.6657
Se 0.6932 0.1560 0.6657
Se 0.6932 0.4903 0.3343
S 0.6656 0.8469 0.0000
S 0.1656 0.1531 0.0000

! Hf3Ti3N | Alexandria | PBE | relaxed; values from VASP
! * space-group type: Fd-3m, No. 227
&SYSTEM
  ibrav = 0, nat = 28, ntyp = 3
/
ATOMIC_SPECIES
Hf 178.49 Hf.upf
Ti 47.87 Ti.upf
N 14.01 N.upf
CELL_PARAMETERS angstrom
-4.8811 -2.2447 -6.9384
1.4035 -7.6512 -4.0612
-5.8834 -6.4747 0.6844
ATOMIC_POSITIONS crystal
Hf 0.0693 0.4307 0.0693
Hf 0.1807 0.1807 0.8193
Hf 0.8193 0.8193 0.1807
Hf 0.8193 0.1807 0.8193
Hf 0.8193 0.1807 0.1807
Hf 0.1807 0.8193 0.8193
Hf 0.4307 0.0693 0.0693
Hf 0.0693 0.0693 0.4307
Hf 0.4307 0.4307 0.0693
Hf 0.0693 0.4307 0.4307
Hf 0.1807 0.8193 0.1807
Hf 0.4307 0.0693 0.4307
Ti 0.8332 0.8332 0.8332
Ti 0.4168 0.4168 0.7497
Ti 0.4168 0.7497 0.4168
Ti 0.7497 0.4168 0.4168
Ti 0.8332 0.5003 0.8332
Ti 0.5003 0.8332 0.8332
Ti 0.8332 0.8332 0.5003
Ti 0.4168 0.4168 0.4168
Ti 0.6250 0.6250 0.6250
Ti 0.6250 0.6250 0.1250
Ti 0.6250 0.1250 0.6250
Ti 0.1250 0.6250 0.6250
N 0.1250 0.1250 0.1250
N 0.1250 0.1250 0.6250
N 0.1250 0.6250 0.1250
N 0.6250 0.1250 0.1250

Respective energy relative to the elements, uncorrected values: -0.23; -0.47 eV per atom.
Respective DFT total energy values: -3.697; -9.311 eV per atom.